1.
A relaxed HoPa2Ge crystal, computed with PBE.

For the spin magnetization, the calculation gives 0.0 Bohr magnetons per cell. For the final energy, the calculation gives -82.63 eV/cell. Its crystal system is trigonal. For the theoretical density, the calculation gives 11.7 g cm⁻³.

The space group is R-3m (No. 166, hexagonal axes) and the conventional cell measures 3.1834, 3.1834 and 34.0524 Å, with angles of 90.00, 90.00 and 120.00 degrees. Symmetry generates all atoms from Ho at (0.0000, 0.0000, 0.0000), Pa at (0.0000, 0.0000, 0.0939) and Ge at (0.0000, 0.0000, 0.5000).

---

2.
A relaxed Sc6Al5Au crystal, computed with PBE.

For the spin magnetization, the calculation gives 0.0 Bohr magnetons per cell. For the final energy, the calculation gives -65.83 eV/cell. Its crystal system is monoclinic. For the theoretical density, the calculation gives 4.3 g cm⁻³.

The space group is P2/m (No. 10) and the conventional cell measures 4.690, 7.095 and 7.411 Å, with angles of 90.00, 108.30 and 90.00 degrees. Symmetry generates all atoms from Sc at (0.000, 0.250, 0.000), Sc at (0.334, 0.249, 0.668), Al at (0.168, 0.000, 0.335), Al at (0.169, 0.500, 0.337), Al at (0.500, 0.000, 0.000) and Au at (0.500, 0.500, 0.000).

---

3.
A relaxed U2GaGe crystal, computed with PBE.

For the spin magnetization, the calculation gives 3.0 Bohr magnetons per cell. For the final energy, the calculation gives -30.56 eV/cell. Its crystal system is tetragonal. For the theoretical density, the calculation gives 13.4 g cm⁻³.

The space group is P4/mmm (No. 123) and the conventional cell measures 2.829, 2.829 and 9.551 Å, with angles of 90.00, 90.00 and 90.00 degrees. Symmetry generates all atoms from U at (0.000, 0.000, 0.248), Ga at (0.500, 0.500, 0.500) and Ge at (0.500, 0.500, 0.000).

---

4.
A relaxed Ce6C2N crystal, computed with PBE.

For the spin magnetization, the calculation gives 11.0 Bohr magnetons per cell. Its crystal system is trigonal. Its formation energy from raw total energies is -345 meV per atom. For the theoretical density, the calculation gives 7.6 g cm⁻³.

The space group is P-3m1 (No. 164) and the conventional cell measures 10.5968, 10.5968 and 5.9057 Å, with angles of 90.00, 90.00 and 120.00 degrees. Symmetry generates all atoms from Ce at (0.1107, 0.2214, 0.2411), Ce at (0.1135, 0.5567, 0.2466), Ce at (0.2246, 0.4493, 0.7558), C at (0.0000, 0.3293, 0.0000), N at (0.0000, 0.0000, 0.0000) and N at (0.3333, 0.6667, 0.4956).

---

5.
A relaxed HfSb2Ru crystal, computed with PBE.

For the spin magnetization, the calculation gives 0.0 Bohr magnetons per cell. Its crystal system is trigonal. Its formation energy from raw total energies is 274 meV per atom. For the theoretical density, the calculation gives 10.0 g cm⁻³.

The space group is R-3m (No. 166, hexagonal axes) and the conventional cell measures 3.1942, 3.1942 and 29.5876 Å, with angles of 90.00, 90.00 and 120.00 degrees. Symmetry generates all atoms from Hf at (0.0000, 0.0000, 0.0000), Sb at (0.0000, 0.0000, 0.4143) and Ru at (0.0000, 0.0000, 0.5000).

---

6.
A relaxed HfVAu2 crystal, computed with PBE.

For the spin magnetization, the calculation gives 4.6 Bohr magnetons per cell. For the final energy, the calculation gives -99.57 eV/cell. Its crystal system is tetragonal. For the theoretical density, the calculation gives 13.6 g cm⁻³.

The space group is I-42d (No. 122) and the conventional cell measures 7.459, 7.459 and 5.464 Å, with angles of 90.00, 90.00 and 90.00 degrees. Symmetry generates all atoms from Hf at (0.000, 0.000, 0.000), V at (0.000, 0.000, 0.500) and Au at (0.225, 0.250, 0.625).

---

7.
A relaxed Tl4Bi2H3 crystal, computed with PBE.

For the spin magnetization, the calculation gives 0.0 Bohr magnetons per cell. For the final energy, the calculation gives -25.15 eV/cell. Its crystal system is triclinic. For the theoretical density, the calculation gives 9.1 g cm⁻³.

The space group is P-1 (No. 2) and the conventional cell measures 4.692, 4.744 and 10.288 Å, with angles of 90.18, 90.37 and 100.77 degrees. Symmetry generates all atoms from Tl at (0.214, 0.287, 0.406), Tl at (0.269, 0.231, 0.078), Bi at (0.235, 0.265, 0.743), H at (0.000, 0.500, 0.000) and H at (0.470, 0.033, 0.663).

---

8.
A relaxed Pr2Al2Ru2C crystal, computed with PBE.

For the spin magnetization, the calculation gives 0.0 Bohr magnetons per cell. For the final energy, the calculation gives -96.16 eV/cell. Its crystal system is monoclinic. For the theoretical density, the calculation gives 6.6 g cm⁻³.

The space group is C2/m (No. 12) and the conventional cell measures 11.322, 4.286 and 7.412 Å, with angles of 90.00, 129.58 and 90.00 degrees. Symmetry generates all atoms from Pr at (0.058, 0.000, 0.327), Al at (0.164, 0.500, 0.104), Ru at (0.196, 0.500, 0.799) and C at (0.000, 0.500, 0.500).

---

9.
A relaxed DyTm2Sb crystal, computed with PBE.

For the spin magnetization, the calculation gives 1.9 Bohr magnetons per cell. Its crystal system is trigonal. Its formation energy from raw total energies is -291 meV per atom. For the theoretical density, the calculation gives 8.1 g cm⁻³.

The space group is R3m (No. 160, hexagonal axes) and the conventional cell measures 3.9588, 3.9588 and 28.0594 Å, with angles of 90.00, 90.00 and 120.00 degrees. Symmetry generates all atoms from Dy at (0.0000, 0.0000, 0.0000), Tm at (0.0000, 0.0000, 0.2355), Tm at (0.0000, 0.0000, 0.4324) and Sb at (0.0000, 0.0000, 0.8345).

---

10.
A relaxed HoMg4Ag crystal, computed with PBE.

For the spin magnetization, the calculation gives 0.0 Bohr magnetons per cell. For the final energy, the calculation gives -53.49 eV/cell. Its crystal system is cubic. For the theoretical density, the calculation gives 4.4 g cm⁻³.

The space group is F-43m (No. 216) and the conventional cell measures 8.265, 8.265 and 8.265 Å, with angles of 90.00, 90.00 and 90.00 degrees. Symmetry generates all atoms from Ho at (0.000, 0.000, 0.000), Mg at (0.125, 0.125, 0.375) and Ag at (0.250, 0.250, 0.750).

---

11.
A relaxed Na2ThPbI8 crystal, computed with PBE.

For the spin magnetization, the calculation gives 0.0 Bohr magnetons per cell. Its crystal system is monoclinic. Its formation energy from raw total energies is -1058 meV per atom. For the theoretical density, the calculation gives 4.5 g cm⁻³.

The space group is P2/m (No. 10) and the conventional cell measures 7.456, 9.490 and 7.871 Å, with angles of 90.00, 94.63 and 90.00 degrees. Symmetry generates all atoms from Na at (0.000, 0.240, 0.000), Th at (0.500, 0.500, 0.500), Pb at (0.500, 0.000, 0.500), I at (0.235, 0.000, 0.164), I at (0.240, 0.500, 0.175) and I at (0.274, 0.266, 0.653).

---

12.
A relaxed Cd3GeS4 crystal, computed with PBE.

For the spin magnetization, the calculation gives 0.0 Bohr magnetons per cell. Its crystal system is orthorhombic. Its formation energy from raw total energies is -461 meV per atom. For the theoretical density, the calculation gives 4.2 g cm⁻³.

The space group is Pmn2_1 (No. 31) and the conventional cell measures 8.468, 7.376 and 6.816 Å, with angles of 90.00, 90.00 and 90.00 degrees. Symmetry generates all atoms from Cd at (0.000, 0.168, 0.000), Cd at (0.249, 0.665, 0.001), Ge at (0.000, 0.835, 0.503), S at (0.000, 0.176, 0.623), S at (0.000, 0.836, 0.119) and S at (0.246, 0.336, 0.123).

---

13.
A relaxed La3YTh crystal, computed with PBE.

For the spin magnetization, the calculation gives 0.0 Bohr magnetons per cell. For the final energy, the calculation gives -223.61 eV/cell. Its crystal system is orthorhombic. For the theoretical density, the calculation gives 7.0 g cm⁻³.

The space group is Cmce (No. 64) and the conventional cell measures 13.264, 13.701 and 7.685 Å, with angles of 90.00, 90.00 and 90.00 degrees. Symmetry generates all atoms from La at (0.000, 0.093, 0.127), La at (0.150, 0.235, 0.890), Y at (0.250, 0.011, 0.250) and Th at (0.000, 0.103, 0.588).

---

14.
A relaxed LaCu4As crystal, computed with PBE.

For the spin magnetization, the calculation gives 0.0 Bohr magnetons per cell. For the final energy, the calculation gives -107.78 eV/cell. Its crystal system is cubic. For the theoretical density, the calculation gives 7.8 g cm⁻³.

The space group is F-43m (No. 216) and the conventional cell measures 7.372, 7.372 and 7.372 Å, with angles of 90.00, 90.00 and 90.00 degrees. Symmetry generates all atoms from La at (0.000, 0.000, 0.000), Cu at (0.124, 0.124, 0.624) and As at (0.250, 0.250, 0.250).

---

15.
A relaxed TbPr3Tl crystal, computed with PBE.

For the spin magnetization, the calculation gives 0.0 Bohr magnetons per cell. For the final energy, the calculation gives -87.34 eV/cell. Its crystal system is monoclinic. For the theoretical density, the calculation gives 7.8 g cm⁻³.

The space group is C2/m (No. 12) and the conventional cell measures 12.440, 5.655 and 10.026 Å, with angles of 90.00, 109.05 and 90.00 degrees. Symmetry generates all atoms from Tb at (0.045, 0.000, 0.351), Pr at (0.136, 0.500, 0.603), Pr at (0.154, 0.000, 0.032), Pr at (0.214, 0.500, 0.284) and Tl at (0.055, 0.500, 0.878).

---

16.
A relaxed CsRb2Pu3F12 crystal, computed with PBE.

For the spin magnetization, the calculation gives 45.0 Bohr magnetons per cell. Its crystal system is trigonal. Its formation energy from raw total energies is -3300 meV per atom. For the theoretical density, the calculation gives 4.6 g cm⁻³.

The space group is R-3m (No. 166, hexagonal axes) and the conventional cell measures 8.8572, 8.8572 and 19.9778 Å, with angles of 90.00, 90.00 and 120.00 degrees. Symmetry generates all atoms from Cs at (0.0000, 0.0000, 0.0000), Rb at (0.0000, 0.0000, 0.3590), Pu at (0.0000, 0.5000, 0.5000), F at (0.0540, 0.5270, 0.3909) and F at (0.0912, 0.5456, 0.8123).